{
  "formula": "NaRe2Au2",
  "functional": "PBE",
  "state": "relaxed",
  "delta_e_f_mev_per_atom": 503,
  "energy_ha_per_atom": -0.22236,
  "e_above_lowest_polymorph_ev_per_atom": 0.000,
  "lattice": [[8.412, 0.000, 0.000], [0.000, 8.412, 0.000], [0.000, 0.000, 2.664]],
  "species": ["Na", "Na", "Re", "Re", "Re", "Re", "Au", "Au", "Au", "Au"],
  "frac_coords": [[0.000, 0.000, 0.000], [0.500, 0.500, 0.000], [0.102, 0.398, 0.500], [0.398, 0.898, 0.500], [0.602, 0.102, 0.500], [0.898, 0.602, 0.500], [0.193, 0.693, 0.000], [0.307, 0.193, 0.000], [0.693, 0.807, 0.000], [0.807, 0.307, 0.000]]
}

***

{
  "formula": "NaRe3Au",
  "functional": "PBE",
  "state": "relaxed",
  "delta_e_f_mev_per_atom": 3070,
  "energy_ha_per_atom": -0.19544,
  "e_above_lowest_polymorph_ev_per_atom": 0.205,
  "lattice": [[4.451, 0.000, 0.000], [0.000, 4.451, 0.000], [0.000, 0.000, 4.451]],
  "species": ["Na", "Re", "Re", "Re", "Au"],
  "frac_coords": [[0.000, 0.000, 0.000], [0.000, 0.000, 0.500], [0.000, 0.500, 0.000], [0.500, 0.000, 0.000], [0.500, 0.500, 0.500]]
}